(1)
DFT (PBE) results for an optimized crystal structure of Mg4Al9CuSi9O36.

Output
- total magnetization (μB per cell) = 0.07
- total DFT energy (no corrections) (eV per cell) = -437.65
- energy relative to the elements, uncorrected (eV/atom) = -2.82

Lattice parameters (Å, degrees): 9.8343 9.4860 9.8560 90.00 119.56 90.00
Space group P2 (No. 3)
Symmetry-distinct sites (fractional):
Mg 0.1582 0.0000 0.3204 [2 per cell]
Mg 0.1603 0.4969 0.3233 [2 per cell]
Al 0.0000 0.0009 0.0000 [1 per cell]
Al 0.0000 0.0034 0.5000 [1 per cell]
Al 0.0000 0.4952 0.5000 [1 per cell]
Al 0.1464 0.7492 0.8992 [2 per cell]
Al 0.2422 0.2489 0.1068 [2 per cell]
Al 0.5000 0.4996 0.5000 [1 per cell]
Al 0.5000 0.9980 0.5000 [1 per cell]
Cu 0.5000 0.7461 0.0000 [1 per cell]
Si 0.0000 0.4980 0.0000 [1 per cell]
Si 0.1288 0.2494 0.7324 [2 per cell]
Si 0.2255 0.7478 0.6089 [2 per cell]
Si 0.3857 0.2505 0.6149 [2 per cell]
Si 0.4053 0.7486 0.2722 [2 per cell]
O 0.0171 0.3904 0.6551 [2 per cell]
O 0.0176 0.1090 0.6542 [2 per cell]
O 0.0241 0.8922 0.8674 [2 per cell]
O 0.0326 0.5965 0.8817 [2 per cell]
O 0.1427 0.6086 0.4989 [2 per cell]
O 0.1460 0.4028 0.1277 [2 per cell]
O 0.1468 0.8911 0.5069 [2 per cell]
O 0.1531 0.1043 0.1403 [2 per cell]
O 0.2095 0.2501 0.9170 [2 per cell]
O 0.2174 0.7405 0.7679 [2 per cell]
O 0.2551 0.2515 0.6702 [2 per cell]
O 0.3328 0.7485 0.0810 [2 per cell]
O 0.3537 0.3914 0.5022 [2 per cell]
O 0.3582 0.1057 0.5100 [2 per cell]
O 0.3620 0.6068 0.3405 [2 per cell]
O 0.3637 0.8897 0.3418 [2 per cell]
O 0.4062 0.7461 0.6501 [2 per cell]
O 0.4394 0.2590 0.2435 [2 per cell]

(2)
DFT (PBE) results for an optimized crystal structure of MgAlCuOs.

Output
- total magnetization (μB per cell) = 0.00
- total DFT energy (no corrections) (eV per cell) = -84.15

Lattice parameters (Å, degrees): 6.1094 6.1094 6.1094 90.00 90.00 90.00
Space group F-43m (No. 216)
Symmetry-distinct sites (fractional):
Mg 0.0000 0.0000 0.0000 [4 per cell]
Al 0.0000 0.0000 0.5000 [4 per cell]
Cu 0.2500 0.2500 0.7500 [4 per cell]
Os 0.2500 0.2500 0.2500 [4 per cell]